A relaxed Er8FePd2 crystal. Source: Alexandria, functional PBE-GGA.

Summary:
crystal system = monoclinic
space-group type = No. 8
formation energy = -0.227 eV/atom
excess energy over the best structure of this formula in the dataset = 92.9 meV per atom
mass density = 9.2 g cm⁻³
V = 26.24 Å³/atom
Fermi-level density of states = 12.51 states/eV/f.u.
total DFT energy (no corrections) = -57.846 eV for the cell shown

Structure (POSCAR):
```
Er8FePd2
1.0
5.870 -0.077 -1.076
-2.085 6.678 -3.029
-0.226 -0.341 7.612
Fe Pd Er
1 2 8
Cartesian
-1.299 6.317 4.394 Fe
1.329 4.529 -0.221 Pd
2.038 1.850 3.841 Pd
2.690 2.209 -0.957 Er
3.154 0.459 1.696 Er
0.189 2.207 1.423 Er
5.212 0.954 4.434 Er
4.088 5.198 -2.000 Er
3.240 4.071 2.119 Er
0.084 5.864 1.908 Er
0.547 4.112 4.563 Er
```